No. 1
Entry from Alexandria: an optimized crystal structure of TmAg2Au (PBE).

Cell: 8.7412 6.0184 6.0192 Å, 90.00 90.00 90.00°
Closest atoms and distances in Å follow each position.
Positions (direct):
Ag 0.1876 0.4999 0.7501  4 Ag 3.01, 4 Au 3.05, 4 Tm 3.05
Tm 0.4375 0.2500 0.4997  4 Au 3.01, 8 Ag 3.05
Tm 0.4375 0.7500 0.0003  4 Au 3.01, 8 Ag 3.05
Ag 0.6876 0.0001 0.2501  4 Ag 3.01, 4 Au 3.05, 4 Tm 3.05
Tm 0.9375 0.2500 0.9997  4 Au 3.01, 8 Ag 3.05
Au 0.4374 0.7500 0.5001  4 Tm 3.01, 8 Ag 3.05
Au 0.9374 0.2500 0.4999  4 Tm 3.01, 8 Ag 3.05
Ag 0.6873 0.0001 0.7502  4 Ag 3.01, 4 Au 3.05, 4 Tm 3.05
Ag 0.6873 0.5001 0.7498  4 Ag 3.01, 4 Au 3.05, 4 Tm 3.05
Au 0.4374 0.2500 0.9999  4 Tm 3.01, 8 Ag 3.05
Ag 0.6876 0.5001 0.2499  4 Ag 3.01, 4 Au 3.05, 4 Tm 3.05
Ag 0.1873 0.4999 0.2502  4 Ag 3.01, 4 Au 3.05, 4 Tm 3.05
Ag 0.1876 0.9999 0.7499  4 Ag 3.01, 4 Au 3.05, 4 Tm 3.05
Au 0.9374 0.7500 0.0001  4 Tm 3.01, 8 Ag 3.05
Tm 0.9375 0.7500 0.5003  4 Au 3.01, 8 Ag 3.05
Ag 0.1873 0.9999 0.2498  4 Ag 3.01, 4 Au 3.05, 4 Tm 3.05

Computed properties:
energy of formation from the pure elements: -0.41 eV per atom
spin magnetization: 0.0 μB/cell
space group: I4/mmm
calculated total energy: -60.3 eV for the cell shown
ΔE to the lowest computed polymorph: 0 meV per atom
D(E_F): 6.963 states/eV/cell

***

No. 2
Entry from Alexandria: an optimized crystal structure of Na3Pm2GaO6 (PBE).

Cell: 5.8847 5.8847 5.9002 Å, 99.06 99.06 120.30°
Closest atoms and distances in Å follow each position.
Positions (direct):
Na 0.1488 0.8512 0.5000  4 O 2.39-2.43
O 0.2361 0.2361 0.7954  1 Ga 2.10
Na 0.5000 0.5000 0.5000  6 O 2.49-2.67
Pm 0.6677 0.3323 0.0000  6 O 2.37
O 0.9322 0.6310 0.7889  1 Ga 2.13, 2 Pm 2.37
Na 0.8512 0.1488 0.5000  4 O 2.39-2.43
Ga 0.0000 0.0000 0.0000  6 O 2.10-2.13
O 0.6310 0.9322 0.7889  1 Ga 2.13, 2 Pm 2.37
O 0.3690 0.0678 0.2111  1 Ga 2.13, 2 Pm 2.37
Pm 0.3323 0.6677 0.0000  6 O 2.37
O 0.0678 0.3690 0.2111  1 Ga 2.13, 2 Pm 2.37
O 0.7639 0.7639 0.2046  1 Ga 2.10

Computed properties:
spin magnetization: 0.0 μB/cell
space group: C2/m
calculated total energy: -73.7 eV for the cell shown
energy relative to the elements, uncorrected: -2.290 eV/atom
D(E_F): 0.000 states/eV/cell

***

No. 3
Entry from Alexandria: an optimized crystal structure of FeCo2P (PBE).

Cell: 3.5111 2.6225 4.8918 Å, 74.51 90.00 90.00°
Closest atoms and distances in Å follow each position.
Positions (direct):
Co 0.0000 0.8122 0.0004  2 P 2.20
Fe 0.0000 0.5461 0.5320  4 P 2.36-2.37, 7 Co 2.51-2.57, 2 Fe 2.62
Co 0.5000 0.1886 0.2471  1 P 2.23, 4 Co 2.48
P 0.5000 0.9532 0.7205  3 Co 2.20-2.23, 4 Fe 2.36-2.37

Computed properties:
energy of formation from the pure elements: -0.17 eV per atom
spin magnetization: 3.5 μB/cell
space group: Amm2
calculated total energy: -28.8 eV for the cell shown
D(E_F): 4.434 states/eV/cell

***

No. 4
Entry from Alexandria: an optimized crystal structure of AgP4Pb (PBE).

Cell: 5.7753 5.7753 5.7753 Å, 60.00 60.00 60.00°
Closest atoms and distances in Å follow each position.
Positions (direct):
Ag 0.0000 0.0000 0.0000  12 P 3.34, 4 Pb 3.54
P 0.3471 0.3471 0.3471  3 P 2.24
P 0.3471 0.3471 0.9586  3 P 2.24
P 0.9586 0.3471 0.3471  3 P 2.24
P 0.3471 0.9586 0.3471  3 P 2.24
Pb 0.7500 0.7500 0.7500  12 P 3.48, 4 Ag 3.54

Computed properties:
energy of formation from the pure elements: 0.47 eV per atom
spin magnetization: 0.0 μB/cell
space group: F-43m
calculated total energy: -25.4 eV for the cell shown
D(E_F): 1.785 states/eV/cell

***

No. 5
Entry from Alexandria: an optimized crystal structure of AcBi2F8 (PBE).

Cell: 4.4314 6.5970 6.5970 Å, 114.19 98.81 98.81°
Closest atoms and distances in Å follow each position.
Positions (direct):
F 0.3029 0.6302 0.6302  2 Bi 2.44, 1 Ac 2.55
Ac 0.5000 0.0000 0.0000  4 F 2.49-2.55
F 0.5000 0.7753 0.2247  2 Bi 2.45, 1 Ac 2.49, 2 F 2.72
F 0.0653 0.3103 0.0611  2 Bi 2.43-2.51, 2 F 2.56-2.72
F 0.5000 0.2247 0.7753  2 Bi 2.45, 1 Ac 2.49, 2 F 2.72
F 0.9347 0.6897 0.9389  2 Bi 2.43-2.51, 2 F 2.56-2.72
F 0.6971 0.3698 0.3698  2 Bi 2.44, 1 Ac 2.55
F 0.9347 0.9389 0.6897  2 Bi 2.43-2.51, 2 F 2.56-2.72
Bi 0.0000 0.6804 0.3196  8 F 2.43-2.51
Bi 0.0000 0.3196 0.6804  8 F 2.43-2.51
F 0.0653 0.0611 0.3103  2 Bi 2.43-2.51, 2 F 2.56-2.72

Computed properties:
spin magnetization: 0.1 μB/cell
space group: C2/m
calculated total energy: -58.0 eV for the cell shown
energy relative to the elements, uncorrected: -2.828 eV/atom
D(E_F): 3.297 states/eV/cell

***

No. 6
Entry from Alexandria: an optimized crystal structure of SrTb4Bi5 (PBE).

Cell: 4.5253 6.4501 12.1286 Å, 105.42 100.75 90.00°
Closest atoms and distances in Å follow each position.
Positions (direct):
Tb 0.5990 0.5990 0.1979  6 Bi 3.21-3.23
Tb 0.4010 0.4010 0.8020  6 Bi 3.21-3.23
Tb 0.2029 0.2029 0.4059  6 Bi 3.14-3.23
Bi 0.8014 0.3014 0.6029  6 Tb 3.20-3.23
Bi 0.0000 0.5000 0.0000  4 Tb 3.21, 2 Sr 3.23
Bi 0.6083 0.1083 0.2166  4 Tb 3.14-3.23, 2 Sr 3.36
Bi 0.3917 0.8917 0.7834  4 Tb 3.14-3.23, 2 Sr 3.36
Tb 0.7971 0.7971 0.5941  6 Bi 3.14-3.23
Sr 0.0000 0.0000 0.0000  6 Bi 3.23-3.36
Bi 0.1986 0.6986 0.3971  6 Tb 3.20-3.23

Computed properties:
energy of formation from the pure elements: -0.83 eV per atom
spin magnetization: 0.0 μB/cell
space group: Immm
calculated total energy: -47.9 eV for the cell shown
D(E_F): 3.572 states/eV/cell

***

No. 7
Entry from Alexandria: an optimized crystal structure of SrZn3C4O12 (PBE).

Cell: 6.2299 6.2299 6.2299 Å, 102.66 102.66 102.66°
Closest atoms and distances in Å follow each position.
Positions (direct):
C 0.9562 0.0438 0.5000  3 O 1.29-1.31
O 0.5000 0.3661 0.6339  1 C 1.30
O 0.9091 0.5000 0.0909  1 C 1.31
C 0.0438 0.5000 0.9562  3 O 1.29-1.31
C 0.5000 0.5000 0.5000  3 O 1.30
O 0.6120 0.8052 0.0202  1 C 1.29
Sr 0.0000 0.0000 0.0000  6 O 2.50
O 0.5000 0.0909 0.9091  1 C 1.31
O 0.3661 0.6339 0.5000  1 C 1.30
O 0.9798 0.1948 0.3880  1 C 1.29
O 0.6339 0.5000 0.3661  1 C 1.30
O 0.1948 0.3880 0.9798  1 C 1.29
Zn 0.5395 0.4605 0.0000  6 O 2.06-2.19
O 0.0909 0.9091 0.5000  1 C 1.31
C 0.5000 0.9562 0.0438  3 O 1.29-1.31
O 0.0202 0.6120 0.8052  1 C 1.29
Zn 0.4605 0.0000 0.5395  6 O 2.06-2.19
O 0.3880 0.9798 0.1948  1 C 1.29
Zn 0.0000 0.5395 0.4605  6 O 2.06-2.19
O 0.8052 0.0202 0.6120  1 C 1.29

Computed properties:
spin magnetization: 0.0 μB/cell
space group: R32
calculated total energy: -133.9 eV for the cell shown
energy relative to the elements, uncorrected: -1.599 eV/atom
D(E_F): 0.000 states/eV/cell

***

No. 8
Entry from Alexandria: an optimized crystal structure of Ce3Zn2Ga (PBE).

Cell: 3.1539 3.1539 13.2838 Å, 90.00 90.00 90.00°
Closest atoms and distances in Å follow each position.
Positions (direct):
Zn 0.5000 0.5000 0.1666  8 Ce 3.14-3.15, 4 Zn 3.15
Ce 0.0000 0.0000 0.6656  4 Ga 3.13, 4 Zn 3.15, 4 Ce 3.15
Zn 0.5000 0.5000 0.8334  8 Ce 3.14-3.15, 4 Zn 3.15
Ce 0.0000 0.0000 0.0000  8 Zn 3.14, 4 Ce 3.15
Ga 0.5000 0.5000 0.5000  8 Ce 3.13, 4 Ga 3.15
Ce 0.0000 0.0000 0.3344  4 Ga 3.13, 4 Zn 3.15, 4 Ce 3.15

Computed properties:
energy of formation from the pure elements: -0.30 eV per atom
spin magnetization: 0.0 μB/cell
space group: P4/mmm
calculated total energy: -25.2 eV for the cell shown
ΔE to the lowest computed polymorph: 2 meV per atom
D(E_F): 8.931 states/eV/cell

***

No. 9
Entry from Alexandria: an optimized crystal structure of CeMg7 (PBE).

Cell: 6.6708 6.6708 5.1714 Å, 90.00 90.00 120.00°
Closest atoms and distances in Å follow each position.
Positions (direct):
Mg 0.4954 0.5046 0.5000  10 Mg 3.19-3.43, 2 Ce 3.26
Mg 0.6564 0.8282 0.0000  10 Mg 3.19-3.44, 2 Ce 3.34
Mg 0.1718 0.3436 0.0000  10 Mg 3.19-3.44, 2 Ce 3.34
Mg 0.1718 0.8282 0.0000  10 Mg 3.19-3.44, 2 Ce 3.34
Mg 0.0092 0.5046 0.5000  10 Mg 3.19-3.43, 2 Ce 3.26
Mg 0.0000 0.0000 0.5000  12 Mg 3.26-3.34
Ce 0.6667 0.3333 0.0000  12 Mg 3.26-3.34
Mg 0.4954 0.9908 0.5000  10 Mg 3.19-3.43, 2 Ce 3.26

Computed properties:
energy of formation from the pure elements: 0.06 eV per atom
spin magnetization: 1.3 μB/cell
space group: P-6m2
calculated total energy: -16.6 eV for the cell shown
D(E_F): 10.216 states/eV/cell

***

No. 10
Entry from Alexandria: an optimized crystal structure of Ac3PmPr6 (PBE).

Cell: 10.3082 10.3082 7.3608 Å, 45.56 45.56 60.00°
Closest atoms and distances in Å follow each position.
Positions (direct):
Ac 0.6082 0.6082 0.1754  1 Pm 3.14, 1 Ac 3.36, 3 Pr 3.45
Pm 0.8499 0.8499 0.4502  2 Ac 3.14
Ac 0.0912 0.0912 0.7264  1 Pm 3.14, 1 Ac 3.36, 3 Pr 3.45
Pr 0.4430 0.7749 0.6810  2 Ac 3.45-3.66, 1 Pm 3.54
Pr 0.1011 0.4430 0.6810  2 Ac 3.45-3.66, 1 Pm 3.54
Pr 0.2577 0.9257 0.2182  2 Ac 3.45-3.66, 1 Pm 3.54
Pr 0.5985 0.2577 0.2182  2 Ac 3.45-3.66, 1 Pm 3.54
Pr 0.9257 0.5985 0.2182  2 Ac 3.45-3.66, 1 Pm 3.54
Ac 0.3499 0.3499 0.9503  2 Ac 3.36, 6 Pr 3.66
Pr 0.7749 0.1011 0.6810  2 Ac 3.45-3.66, 1 Pm 3.54

Computed properties:
energy of formation from the pure elements: 0.32 eV per atom
spin magnetization: 0.0 μB/cell
space group: R-3
calculated total energy: -42.5 eV for the cell shown
D(E_F): 23.648 states/eV/cell

***

No. 11
Entry from Alexandria: an optimized crystal structure of TbHoPt (PBE).

Cell: 4.7712 7.1596 8.8300 Å, 90.00 90.00 90.00°
Closest atoms and distances in Å follow each position.
Positions (direct):
Pt 0.7500 0.2390 0.9075  3 Ho 2.82-3.04, 4 Tb 2.90-2.96
Pt 0.7500 0.7390 0.5925  3 Ho 2.82-3.04, 4 Tb 2.90-2.96
Tb 0.2500 0.8558 0.4177  4 Pt 2.90-2.96
Tb 0.7500 0.1442 0.5823  4 Pt 2.90-2.96
Tb 0.7500 0.6442 0.9177  4 Pt 2.90-2.96
Tb 0.2500 0.3558 0.0823  4 Pt 2.90-2.96
Ho 0.2500 0.9917 0.8343  3 Pt 2.82-3.04
Pt 0.2500 0.2610 0.4075  3 Ho 2.82-3.04, 4 Tb 2.90-2.96
Ho 0.2500 0.4917 0.6657  3 Pt 2.82-3.04
Ho 0.7500 0.5083 0.3343  3 Pt 2.82-3.04
Pt 0.2500 0.7610 0.0925  3 Ho 2.82-3.04, 4 Tb 2.90-2.96
Ho 0.7500 0.0083 0.1657  3 Pt 2.82-3.04

Computed properties:
energy of formation from the pure elements: -0.95 eV per atom
spin magnetization: 0.0 μB/cell
space group: Pnma
calculated total energy: -72.3 eV for the cell shown
ΔE to the lowest computed polymorph: 0 meV per atom
D(E_F): 12.348 states/eV/cell

***

No. 12
Entry from Alexandria: an optimized crystal structure of Co2HgBr8 (PBE).

Cell: 6.7124 8.0443 8.0443 Å, 82.43 91.33 91.33°
Closest atoms and distances in Å follow each position.
Positions (direct):
Co 0.6339 0.2206 0.2206  4 Br 2.26-2.38
Hg 0.0000 0.0000 0.0000  4 Br 2.79
Br 0.7692 0.2872 0.9482  1 Co 2.38
Co 0.3661 0.7794 0.7794  4 Br 2.26-2.38
Br 0.7077 0.7900 0.7900  1 Co 2.29
Br 0.7577 0.3964 0.3964  1 Co 2.26
Br 0.7692 0.9482 0.2872  1 Co 2.38
Br 0.2308 0.7128 0.0518  1 Co 2.38
Br 0.2923 0.2100 0.2100  1 Co 2.29
Br 0.2308 0.0518 0.7128  1 Co 2.38
Br 0.2423 0.6036 0.6036  1 Co 2.26

Computed properties:
spin magnetization: 8.0 μB/cell
space group: C2/m
calculated total energy: -31.0 eV for the cell shown
energy relative to the elements, uncorrected: -0.278 eV/atom
D(E_F): 5.917 states/eV/cell